Entry 1:
Below is crystalline AsRhO2 at its relaxed geometry, with properties calculated at the PBE level.

Calculated values
- Energy relative to the elements, uncorrected: -0.52 eV/atom
- V: 12.913 Å³ per atom
- DOS(E_F): 0.164 states/eV per atom
- Space group: R-3m

The structure in CIF format:
```
data_AsRhO2
_cell_length_a 6.543
_cell_length_b 6.543
_cell_length_c 6.543
_cell_angle_alpha 27.21
_cell_angle_beta 27.21
_cell_angle_gamma 27.21
_space_group_name_H-M_alt 'P 1'
_space_group_IT_number 1
loop_
_space_group_symop_operation_xyz
'x,y,z'
loop_
_atom_site_label
_atom_site_fract_x
_atom_site_fract_y
_atom_site_fract_z
O1 0.112 0.112 0.112
As1 0.000 0.000 0.000
O2 0.888 0.888 0.888
Rh1 0.500 0.500 0.500
```


Entry 2:
Below is crystalline Eu2Ni7P4 at its relaxed geometry, with properties calculated at the PBE level.

Calculated values
- Formation enthalpy at 0 K: -761 meV per atom
- V: 13.954 Å³ per atom
- DOS(E_F): 1.536 states/eV per atom
- Space group: Pmn2_1

The structure in CIF format:
```
data_Eu2Ni7P4
_cell_length_a 3.730
_cell_length_b 9.256
_cell_length_c 10.510
_cell_angle_alpha 90.00
_cell_angle_beta 90.00
_cell_angle_gamma 90.00
_space_group_name_H-M_alt 'P 1'
_space_group_IT_number 1
loop_
_space_group_symop_operation_xyz
'x,y,z'
loop_
_atom_site_label
_atom_site_fract_x
_atom_site_fract_y
_atom_site_fract_z
Eu1 0.500 0.563 0.020
Ni1 0.500 0.806 0.813
Ni2 0.500 0.595 0.320
P1 0.000 0.658 0.829
Eu2 0.000 0.437 0.520
Ni3 0.500 0.913 0.540
P2 0.500 0.342 0.329
Ni4 0.000 0.194 0.313
Ni5 0.500 0.249 0.141
Eu3 0.500 0.937 0.235
Ni6 0.000 0.438 0.216
P3 0.000 0.021 0.455
P4 0.000 0.684 0.209
Ni7 0.000 0.405 0.820
Ni8 0.500 0.229 0.910
Ni9 0.500 0.562 0.716
Ni10 0.000 0.087 0.040
Ni11 0.000 0.822 0.994
P5 0.500 0.979 0.955
Ni12 0.000 0.771 0.410
Ni13 0.000 0.751 0.641
P6 0.500 0.316 0.709
Eu4 0.000 0.063 0.735
P7 0.000 0.320 0.024
P8 0.500 0.680 0.524
Ni14 0.500 0.178 0.494
```


Entry 3:
Below is crystalline TbDyMgAl at its relaxed geometry, with properties calculated at the PBE level.

Calculated values
- Formation enthalpy at 0 K: -274 meV per atom
- V: 24.963 Å³ per atom
- DOS(E_F): 0.553 states/eV per atom
- Space group: F-43m

The structure in CIF format:
```
data_TbDyMgAl
_cell_length_a 5.207
_cell_length_b 5.207
_cell_length_c 5.207
_cell_angle_alpha 60.00
_cell_angle_beta 60.00
_cell_angle_gamma 60.00
_space_group_name_H-M_alt 'P 1'
_space_group_IT_number 1
loop_
_space_group_symop_operation_xyz
'x,y,z'
loop_
_atom_site_label
_atom_site_fract_x
_atom_site_fract_y
_atom_site_fract_z
Mg1 0.500 0.500 0.500
Al1 0.000 0.000 0.000
Tb1 0.250 0.250 0.250
Dy1 0.750 0.750 0.750
```


Entry 4:
Below is crystalline Rb2ZnSeF6 at its relaxed geometry, with properties calculated at the PBE level.

Calculated values
- Energy relative to the elements, uncorrected: -2.08 eV/atom
- V: 17.923 Å³ per atom
- DOS(E_F): 0.000 states/eV per atom
- Space group: I4/mmm

The structure in CIF format:
```
data_Rb2ZnSeF6
_cell_length_a 6.526
_cell_length_b 6.526
_cell_length_c 6.246
_cell_angle_alpha 58.50
_cell_angle_beta 58.50
_cell_angle_gamma 90.00
_space_group_name_H-M_alt 'P 1'
_space_group_IT_number 1
loop_
_space_group_symop_operation_xyz
'x,y,z'
loop_
_atom_site_label
_atom_site_fract_x
_atom_site_fract_y
_atom_site_fract_z
F1 0.768 0.768 0.463
Se1 0.000 0.000 0.000
Rb1 0.250 0.750 0.500
F2 0.716 0.716 0.000
Rb2 0.750 0.250 0.500
F3 0.232 0.232 0.537
F4 0.716 0.284 0.000
F5 0.284 0.716 0.000
Zn1 0.500 0.500 0.000
F6 0.284 0.284 0.000
```


Entry 5:
Below is crystalline Ni2RuSe at its relaxed geometry, with properties calculated at the PBE level.

Calculated values
- Energy relative to the elements, uncorrected: 0.25 eV/atom
- V: 13.287 Å³ per atom
- DOS(E_F): 1.463 states/eV per atom
- Space group: P2/m

The structure in CIF format:
```
data_Ni2RuSe
_cell_length_a 3.655
_cell_length_b 2.850
_cell_length_c 5.559
_cell_angle_alpha 66.62
_cell_angle_beta 90.00
_cell_angle_gamma 90.00
_space_group_name_H-M_alt 'P 1'
_space_group_IT_number 1
loop_
_space_group_symop_operation_xyz
'x,y,z'
loop_
_atom_site_label
_atom_site_fract_x
_atom_site_fract_y
_atom_site_fract_z
Ni1 0.000 0.572 0.494
Se1 0.500 0.750 0.750
Ru1 0.500 0.250 0.250
Ni2 0.000 0.928 0.006
```


Entry 6:
Below is crystalline LiU6S12 at its relaxed geometry, with properties calculated at the PBE level.

Calculated values
- Energy relative to the elements, uncorrected: -1.37 eV/atom
- V: 23.415 Å³ per atom
- DOS(E_F): 2.035 states/eV per atom
- Space group: R-3

The structure in CIF format:
```
data_LiU6S12
_cell_length_a 7.787
_cell_length_b 7.787
_cell_length_c 7.787
_cell_angle_alpha 100.54
_cell_angle_beta 100.54
_cell_angle_gamma 100.54
_space_group_name_H-M_alt 'P 1'
_space_group_IT_number 1
loop_
_space_group_symop_operation_xyz
'x,y,z'
loop_
_atom_site_label
_atom_site_fract_x
_atom_site_fract_y
_atom_site_fract_z
U1 0.619 0.130 0.291
S1 0.683 0.056 0.939
S2 0.576 0.431 0.176
S3 0.569 0.824 0.424
S4 0.824 0.424 0.569
S5 0.944 0.061 0.317
U2 0.709 0.381 0.870
S6 0.176 0.576 0.431
S7 0.431 0.176 0.576
S8 0.424 0.569 0.824
S9 0.317 0.944 0.061
Li1 0.000 0.000 0.000
U3 0.130 0.291 0.619
U4 0.870 0.709 0.381
U5 0.291 0.619 0.130
S10 0.939 0.683 0.056
S11 0.061 0.317 0.944
U6 0.381 0.870 0.709
S12 0.056 0.939 0.683
```